Version w
Material: SrLu2O4
Method: DFT, GGA-PBEsol
State: relaxed

The structure belongs to space group Pnma (No. 62); the cell edges are 9.8516, 3.2997 and 11.5966 Å and the angles 90.00°, 90.00° and 90.00°. The inequivalent atoms are Sr at (0.2466, 0.2500, 0.1508), Lu at (0.0743, 0.2500, 0.3883), Lu at (0.0781, 0.2500, 0.8912), O at (0.0178, 0.7500, 0.7832), O at (0.0742, 0.2500, 0.5763), O at (0.1219, 0.7500, 0.0199) and O at (0.2099, 0.7500, 0.3312).

***

Version x
Material: SrLu2O4
Method: DFT, GGA-PBEsol
State: relaxed

The structure belongs to space group Fd-3m (No. 227, origin choice 2); the cell edges are 9.5079, 9.5079 and 9.5079 Å and the angles 90.00°, 90.00° and 90.00°. The inequivalent atoms are Sr at (0.1250, 0.1250, 0.1250), Lu at (0.0000, 0.0000, 0.5000) and O at (0.0183, 0.0183, 0.7317).

***

Bottom line: version w, by a margin of 0.034 eV/atom.

***

Version w
Material: Mg2MnMo
Method: DFT, GGA-PBEsol
State: relaxed

The structure belongs to space group F-43m (No. 216); the cell edges are 6.2389, 6.2389 and 6.2389 Å and the angles 90.00°, 90.00° and 90.00°. The inequivalent atoms are Mg at (0.0000, 0.0000, 0.0000), Mg at (0.2500, 0.2500, 0.2500), Mn at (0.0000, 0.0000, 0.5000) and Mo at (0.2500, 0.2500, 0.7500).

***

Version x
Material: Mg2MnMo
Method: DFT, GGA-PBEsol
State: relaxed

The structure belongs to space group C2/m (No. 12); the cell edges are 9.6561, 2.7367 and 4.9398 Å and the angles 90.00°, 98.78° and 90.00°. The inequivalent atoms are Mg at (0.2463, 0.0000, 0.2504), Mn at (0.0000, 0.5000, 0.0000) and Mo at (0.0000, 0.0000, 0.5000).

***

Bottom line: version w, by a margin of 0.098 eV/atom.

***

Version w
Material: MgMn2O4
Method: DFT, GGA-PBEsol
State: relaxed

The structure belongs to space group I4_1/amd (No. 141, origin choice 2); the cell edges are 5.6995, 5.6995 and 9.3915 Å and the angles 90.00°, 90.00° and 90.00°. The inequivalent atoms are Mg at (0.0000, 0.2500, 0.3750), Mn at (0.0000, 0.0000, 0.0000) and O at (0.0000, 0.0246, 0.7543).

***

Version x
Material: MgMn2O4
Method: DFT, GGA-PBEsol
State: relaxed

The structure belongs to space group P2/m (No. 10); the cell edges are 5.0737, 2.9221 and 5.1548 Å and the angles 90.00°, 106.30° and 90.00°. The inequivalent atoms are Mg at (0.0000, 0.0000, 0.0000), Mn at (0.0000, 0.5000, 0.5000), Mn at (0.5000, 0.0000, 0.5000), O at (0.2129, 0.0000, 0.7005) and O at (0.2236, 0.5000, 0.2577).

***

Version y
Material: MgMn2O4
Method: DFT, GGA-PBEsol
State: relaxed

The structure belongs to space group R3m (No. 160, hexagonal axes); the cell edges are 5.7660, 5.7660 and 14.6456 Å and the angles 90.00°, 90.00° and 120.00°. The inequivalent atoms are Mg at (0.0000, 0.0000, 0.0000), Mg at (0.0000, 0.0000, 0.3757), Mn at (0.0000, 0.0000, 0.7517), Mn at (0.0007, 0.5004, 0.8769), O at (0.0000, 0.0000, 0.1376), O at (0.0000, 0.0000, 0.6161), O at (0.0275, 0.5138, 0.1358) and O at (0.1803, 0.3607, 0.9505).

***

Version z
Material: MgMn2O4
Method: DFT, GGA-PBEsol
State: relaxed

The structure belongs to space group C222_1 (No. 20); the cell edges are 3.0303, 9.8611 and 9.2320 Å and the angles 90.00°, 90.00° and 90.00°. The inequivalent atoms are Mg at (0.0000, 0.0950, 0.2500), Mn at (0.0823, 0.3634, 0.4295), O at (0.0000, 0.4577, 0.2500), O at (0.0148, 0.0000, 0.0000) and O at (0.1571, 0.2748, 0.6143).

***

Bottom line: version y, by a margin of 0.020 eV/atom.

***

Version w
Material: MgMn2O4
Method: DFT, GGA-PBEsol
State: relaxed

The structure belongs to space group C2/c (No. 15); the cell edges are 9.8910, 5.5646 and 10.7035 Å and the angles 90.00°, 90.25° and 90.00°. The inequivalent atoms are Mg at (0.0000, 0.0148, 0.2500), Mg at (0.2500, 0.2500, 0.5000), Mn at (0.0282, 0.2517, 0.9820), Mn at (0.2229, 0.4930, 0.2349), O at (0.0993, 0.0131, 0.5780), O at (0.1082, 0.4880, 0.5690), O at (0.1423, 0.2392, 0.8193) and O at (0.1508, 0.2316, 0.3274).

***

Version x
Material: MgMn2O4
Method: DFT, GGA-PBEsol
State: relaxed

The structure belongs to space group P2_1/c (No. 14); the cell edges are 5.5855, 10.6801 and 5.6505 Å and the angles 90.00°, 118.39° and 90.00°. The inequivalent atoms are Mg at (0.1625, 0.1147, 0.0466), Mn at (0.1193, 0.6205, 0.0034), Mn at (0.4323, 0.1433, 0.5978), O at (0.0734, 0.2079, 0.3430), O at (0.2278, 0.5561, 0.7437), O at (0.2310, 0.0514, 0.7342) and O at (0.4688, 0.6937, 0.1766).

***

Bottom line: version w, by a margin of 0.012 eV/atom.

***

Version w
Material: MgMn4O8
Method: DFT, GGA-PBEsol
State: relaxed

The structure belongs to space group C2/m (No. 12); the cell edges are 9.6960, 5.6252 and 5.2360 Å and the angles 90.00°, 108.92° and 90.00°. The inequivalent atoms are Mg at (0.0000, 0.0000, 0.0000), Mn at (0.0000, 0.2535, 0.5000), Mn at (0.2463, 0.5000, 0.4793), O at (0.1135, 0.0000, 0.7158), O at (0.1207, 0.5000, 0.6913) and O at (0.1290, 0.2363, 0.2912).

***

Version x
Material: MgMn4O8
Method: DFT, GGA-PBEsol
State: relaxed

The structure belongs to space group F-43m (No. 216); the cell edges are 8.1016, 8.1016 and 8.1016 Å and the angles 90.00°, 90.00° and 90.00°. The inequivalent atoms are Mg at (0.0000, 0.0000, 0.0000), Mn at (0.1220, 0.1220, 0.3780), O at (0.1107, 0.1107, 0.6107) and O at (0.1385, 0.1385, 0.1385).

***

Bottom line: version x, by a margin of 0.023 eV/atom.

***

Version w
Material: Mg2MnRu
Method: DFT, GGA-PBEsol
State: relaxed

The structure belongs to space group Fm-3m (No. 225); the cell edges are 6.2672, 6.2672 and 6.2672 Å and the angles 90.00°, 90.00° and 90.00°. The inequivalent atoms are Mg at (0.2500, 0.2500, 0.2500), Mn at (0.0000, 0.0000, 0.0000) and Ru at (0.0000, 0.0000, 0.5000).

***

Version x
Material: Mg2MnRu
Method: DFT, GGA-PBEsol
State: relaxed

The structure belongs to space group I4/mmm (No. 139); the cell edges are 3.9454, 3.9454 and 7.9755 Å and the angles 90.00°, 90.00° and 90.00°. The inequivalent atoms are Mg at (0.0000, 0.5000, 0.2500), Mn at (0.0000, 0.0000, 0.0000) and Ru at (0.0000, 0.0000, 0.5000).

***

Bottom line: version x, by a margin of 0.050 eV/atom.

***

Version w
Material: Mg2MnRu
Method: DFT, GGA-PBEsol
State: relaxed

The structure belongs to space group P4mm (No. 99); the cell edges are 2.8813, 2.8813 and 7.5692 Å and the angles 90.00°, 90.00° and 90.00°. The inequivalent atoms are Mg at (0.0000, 0.0000, 0.0000), Mg at (0.5000, 0.5000, 0.3373), Mn at (0.0000, 0.0000, 0.5798) and Ru at (0.5000, 0.5000, 0.7490).

***

Version x
Material: Mg2MnRu
Method: DFT, GGA-PBEsol
State: relaxed

The structure belongs to space group F-43m (No. 216); the cell edges are 6.2737, 6.2737 and 6.2737 Å and the angles 90.00°, 90.00° and 90.00°. The inequivalent atoms are Mg at (0.0000, 0.0000, 0.0000), Mg at (0.2500, 0.2500, 0.2500), Mn at (0.2500, 0.2500, 0.7500) and Ru at (0.0000, 0.0000, 0.5000).

***

Version y
Material: Mg2MnRu
Method: DFT, GGA-PBEsol
State: relaxed

The structure belongs to space group Pmmm (No. 47); the cell edges are 3.5088, 4.1618 and 4.2223 Å and the angles 90.00°, 90.00° and 90.00°. The inequivalent atoms are Mg at (0.0000, 0.0000, 0.0000), Mg at (0.5000, 0.5000, 0.0000), Mn at (0.0000, 0.5000, 0.5000) and Ru at (0.5000, 0.0000, 0.5000).

***

Version z
Material: Mg2MnRu
Method: DFT, GGA-PBEsol
State: relaxed

The structure belongs to space group Pm (No. 6); the cell edges are 2.8026, 4.1197 and 5.5646 Å and the angles 90.00°, 103.52° and 90.00°. The inequivalent atoms are Mg at (0.0000, 0.0000, 0.0000), Mg at (0.4187, 0.5000, 0.7120), Mn at (0.5269, 0.5000, 0.2609) and Ru at (0.8894, 0.0000, 0.4631).

***

Bottom line: version w, by a margin of 0.145 eV/atom.

***

Version w
Material: Mg2TaMn
Method: DFT, GGA-PBEsol
State: relaxed

The structure belongs to space group Fm-3m (No. 225); the cell edges are 6.5077, 6.5077 and 6.5077 Å and the angles 90.00°, 90.00° and 90.00°. The inequivalent atoms are Mg at (0.2500, 0.2500, 0.2500), Ta at (0.0000, 0.0000, 0.0000) and Mn at (0.0000, 0.0000, 0.5000).

***

Version x
Material: Mg2TaMn
Method: DFT, GGA-PBEsol
State: relaxed

The structure belongs to space group P4mm (No. 99); the cell edges are 2.8481, 2.8481 and 8.7348 Å and the angles 90.00°, 90.00° and 90.00°. The inequivalent atoms are Mg at (0.0000, 0.0000, 0.0000), Mg at (0.5000, 0.5000, 0.2912), Ta at (0.5000, 0.5000, 0.7334) and Mn at (0.0000, 0.0000, 0.5208).

***

Bottom line: version x, by a margin of 0.411 eV/atom.